ZrGe2W after structural relaxation. Source: Alexandria via LeMat-Bulk, functional PBE.

Lattice parameters (Å, degrees): 9.907 9.907 9.907 156.58 156.58 33.36
Positions (direct):
Zr 0.000 0.000 0.000
Zr 0.750 0.250 0.500
Ge 0.157 0.625 0.032
Ge 0.375 0.407 0.532
Ge 0.593 0.125 0.968
Ge 0.875 0.843 0.468
W 0.250 0.750 0.500
W 0.500 0.500 0.000

***

ZrGe3W after structural relaxation. Source: Alexandria via LeMat-Bulk, functional PBE.

Lattice parameters (Å, degrees): 4.835 4.835 4.835 90.00 90.00 90.00
Positions (direct):
Zr 0.000 0.000 0.000
Ge 0.000 0.500 0.500
Ge 0.500 0.000 0.500
Ge 0.500 0.500 0.000
W 0.500 0.500 0.500

***

Zr3GeW after structural relaxation. Source: Alexandria via LeMat-Bulk, functional PBE.

Lattice parameters (Å, degrees): 4.925 4.925 4.925 90.00 90.00 90.00
Positions (direct):
Zr 0.000 0.000 0.500
Zr 0.000 0.500 0.000
Zr 0.500 0.000 0.000
Ge 0.000 0.000 0.000
W 0.500 0.500 0.500

***

Zr3GeW after structural relaxation. Source: Alexandria via LeMat-Bulk, functional PBE.

Lattice parameters (Å, degrees): 5.068 5.068 5.068 90.00 90.00 90.00
Positions (direct):
Zr 0.000 0.000 0.500
Zr 0.000 0.500 0.000
Zr 0.500 0.000 0.000
Ge 0.500 0.500 0.500
W 0.000 0.000 0.000

***

ZrGe2W after structural relaxation. Source: Alexandria via LeMat-Bulk, functional PBE.

Lattice parameters (Å, degrees): 4.583 4.583 4.583 60.00 60.00 60.00
Positions (direct):
Zr 0.000 0.000 0.000
Ge 0.250 0.250 0.250
Ge 0.750 0.750 0.750
W 0.500 0.500 0.500

***

ZrGe3W after structural relaxation. Source: Alexandria via LeMat-Bulk, functional PBE.

Lattice parameters (Å, degrees): 4.989 4.989 4.989 90.00 90.00 90.00
Positions (direct):
Zr 0.000 0.000 0.000
Ge 0.000 0.000 0.500
Ge 0.000 0.500 0.000
Ge 0.500 0.000 0.000
W 0.500 0.500 0.500

***

YGe2 after structural relaxation. Source: Alexandria via LeMat-Bulk, functional PBE.

Lattice parameters (Å, degrees): 5.650 5.650 5.650 60.00 60.00 60.00
Positions (direct):
Y 0.125 0.125 0.125
Y 0.875 0.875 0.875
Ge 0.000 0.500 0.500
Ge 0.500 0.000 0.500
Ge 0.500 0.500 0.000
Ge 0.500 0.500 0.500

***

YGe2 after structural relaxation. Source: Alexandria via LeMat-Bulk, functional PBE.

Lattice parameters (Å, degrees): 8.824 8.824 8.824 153.93 153.93 37.20
Positions (direct):
Y 0.375 0.625 0.750
Y 0.625 0.375 0.250
Ge 0.047 0.797 0.250
Ge 0.203 0.953 0.250
Ge 0.797 0.047 0.750
Ge 0.953 0.203 0.750

***

no.,DFT total energy (eV per atom),DFT formation energy (eV per formula unit)
1,-7.3826,1.2
2,-6.3986,3.4
3,-7.8257,4.1
4,-7.7971,4.2
5,-7.7276,-0.2
6,-5.3975,8.4
7,-5.5467,-0.9
8,-5.7656,-1.6